CsNb2Fe: optimized geometry, PBE.

VASP energy	-5.72	eV/atom
crystal system	tetragonal
N(E_F)	10.13	states/eV/cell
symmetry	I-42d

POSCAR file:
```
CsNb2Fe
1.0
-3.1164 3.9636 -2.7945
-4.6841 -1.5997 2.9549
-2.2831 6.1616 5.3396
Cs Nb Fe
2 4 2
Direct
0.0000 0.0000 0.0000
0.7500 0.2500 0.5000
0.3779 0.1250 0.2500
0.3721 0.6250 0.2500
0.3750 0.6221 0.7500
0.8750 0.6279 0.7500
0.5000 0.5000 0.0000
0.2500 0.7500 0.5000
```